Entry i
The following is a PBE calculation of Mn2InOs2 after structural relaxation, from the Alexandria database.

The magnetization comes out at 0.00 μB per formula unit.

It has space group P4/mbm (No. 127), with a = 7.2959 Å, b = 7.2959 Å, c = 2.7280 Å, α = 90.00°, β = 90.00° and γ = 90.00°. Symmetry generates all atoms from Mn at (0.1220, 0.3780, 0.0000), In at (0.0000, 0.0000, 0.0000) and Os at (0.1620, 0.6620, 0.5000).



Entry ii
The following is a PBE calculation of Mn2InOs2 after structural relaxation, from the Alexandria database.

The magnetization comes out at 2.25 μB per formula unit.

It has space group P4/mbm (No. 127), with a = 7.3920 Å, b = 7.3920 Å, c = 2.7281 Å, α = 90.00°, β = 90.00° and γ = 90.00°. Symmetry generates all atoms from Mn at (0.1625, 0.3375, 0.0000), In at (0.0000, 0.0000, 0.5000) and Os at (0.1272, 0.6272, 0.5000).



Most stable = entry ii



Entry i
The following is a PBE calculation of MnInPS2 after structural relaxation, from the Alexandria database.

The magnetization comes out at 2.47 μB per formula unit.

It has space group P4/mmm (No. 123), with a = 4.6513 Å, b = 4.6513 Å, c = 4.5224 Å, α = 90.00°, β = 90.00° and γ = 90.00°. Symmetry generates all atoms from Mn at (0.0000, 0.0000, 0.0000), In at (0.5000, 0.5000, 0.5000), P at (0.0000, 0.0000, 0.5000) and S at (0.0000, 0.5000, 0.0000).



Entry ii
The following is a PBE calculation of MnInPS2 after structural relaxation, from the Alexandria database.

The magnetization comes out at 3.81 μB per formula unit.

It has space group P4/mmm (No. 123), with a = 5.0243 Å, b = 5.0243 Å, c = 4.9875 Å, α = 90.00°, β = 90.00° and γ = 90.00°. Symmetry generates all atoms from Mn at (0.0000, 0.0000, 0.0000), In at (0.5000, 0.5000, 0.5000), P at (0.5000, 0.5000, 0.0000) and S at (0.0000, 0.5000, 0.5000).



Most stable = entry i



Entry i
The following is a PBE calculation of PaMn2In after structural relaxation, from the Alexandria database.

The magnetization comes out at 2.04 μB per formula unit.

It has space group P4/mmm (No. 123), with a = 4.4846 Å, b = 4.4846 Å, c = 3.4020 Å, α = 90.00°, β = 90.00° and γ = 90.00°. Symmetry generates all atoms from Pa at (0.0000, 0.0000, 0.0000), Mn at (0.0000, 0.5000, 0.5000) and In at (0.5000, 0.5000, 0.0000).



Entry ii
The following is a PBE calculation of PaMn2In after structural relaxation, from the Alexandria database.

The magnetization comes out at 1.69 μB per formula unit.

It has space group R-3m (No. 166, hexagonal axes), with a = 3.2732 Å, b = 3.2732 Å, c = 22.8817 Å, α = 90.00°, β = 90.00° and γ = 120.00°. Symmetry generates all atoms from Pa at (0.0000, 0.0000, 0.0000), Mn at (0.0000, 0.0000, 0.2582) and In at (0.0000, 0.0000, 0.5000).



Most stable = entry i



Entry i
The following is a PBE calculation of MnIn2Pt2 after structural relaxation, from the Alexandria database.

The magnetization comes out at 4.05 μB per formula unit.

It has space group P2_1/m (No. 11), with a = 4.5170 Å, b = 4.4297 Å, c = 9.7067 Å, α = 90.00°, β = 90.06° and γ = 90.00°. Symmetry generates all atoms from Mn at (0.2494, 0.2500, 0.3335), In at (0.2502, 0.2500, 0.0063), In at (0.2497, 0.2500, 0.6748), Pt at (0.2499, 0.7500, 0.1727) and Pt at (0.2509, 0.7500, 0.5005).



Entry ii
The following is a PBE calculation of MnIn2Pt2 after structural relaxation, from the Alexandria database.

The magnetization comes out at 4.40 μB per formula unit.

It has space group P4/mbm (No. 127), with a = 7.0105 Å, b = 7.0105 Å, c = 3.8479 Å, α = 90.00°, β = 90.00° and γ = 90.00°. Symmetry generates all atoms from Mn at (0.0000, 0.0000, 0.0000), In at (0.1622, 0.3378, 0.5000) and Pt at (0.1426, 0.6426, 0.0000).



Most stable = entry i



Entry i
The following is a PBE calculation of RbMn2In after structural relaxation, from the Alexandria database.

The magnetization comes out at 8.70 μB per formula unit.

It has space group Fm-3m (No. 225), with a = 7.3931 Å, b = 7.3931 Å, c = 7.3931 Å, α = 90.00°, β = 90.00° and γ = 90.00°. Symmetry generates all atoms from Rb at (0.0000, 0.0000, 0.0000), Mn at (0.2500, 0.2500, 0.2500) and In at (0.0000, 0.0000, 0.5000).



Entry ii
The following is a PBE calculation of RbMn2In after structural relaxation, from the Alexandria database.

The magnetization comes out at 8.00 μB per formula unit.

It has space group I4_1/amd (No. 141, origin choice 2), with a = 5.4598 Å, b = 5.4598 Å, c = 18.9075 Å, α = 90.00°, β = 90.00° and γ = 90.00°. Symmetry generates all atoms from Rb at (0.0000, 0.2500, 0.3750), Mn at (0.0000, 0.0000, 0.0000) and In at (0.0000, 0.2500, 0.8750).



Most stable = entry ii



Entry i
The following is a PBE calculation of RbMn3In after structural relaxation, from the Alexandria database.

The magnetization comes out at 11.99 μB per formula unit.

It has space group Pm-3m (No. 221), with a = 5.1255 Å, b = 5.1255 Å, c = 5.1255 Å, α = 90.00°, β = 90.00° and γ = 90.00°. Symmetry generates all atoms from Rb at (0.0000, 0.0000, 0.0000), Mn at (0.0000, 0.0000, 0.5000) and In at (0.5000, 0.5000, 0.5000).



Entry ii
The following is a PBE calculation of RbMn3In after structural relaxation, from the Alexandria database.

The magnetization comes out at 13.00 μB per formula unit.

It has space group Pm-3m (No. 221), with a = 5.3317 Å, b = 5.3317 Å, c = 5.3317 Å, α = 90.00°, β = 90.00° and γ = 90.00°. Symmetry generates all atoms from Rb at (0.0000, 0.0000, 0.0000), Mn at (0.0000, 0.5000, 0.5000) and In at (0.5000, 0.5000, 0.5000).



Most stable = entry ii



Entry i
The following is a PBE calculation of Rb2MnIn after structural relaxation, from the Alexandria database.

The magnetization comes out at 3.28 μB per formula unit.

It has space group Fm-3m (No. 225), with a = 8.8177 Å, b = 8.8177 Å, c = 8.8177 Å, α = 90.00°, β = 90.00° and γ = 90.00°. Symmetry generates all atoms from Rb at (0.2500, 0.2500, 0.2500), Mn at (0.0000, 0.0000, 0.0000) and In at (0.0000, 0.0000, 0.5000).



Entry ii
The following is a PBE calculation of Rb2MnIn after structural relaxation, from the Alexandria database.

The magnetization comes out at 4.01 μB per formula unit.

It has space group I-42d (No. 122), with a = 13.5247 Å, b = 13.5247 Å, c = 5.2367 Å, α = 90.00°, β = 90.00° and γ = 90.00°. Symmetry generates all atoms from Rb at (0.0723, 0.2500, 0.1250), Mn at (0.0000, 0.0000, 0.0000) and In at (0.0000, 0.0000, 0.5000).



Most stable = entry ii



Entry i
The following is a PBE calculation of MnInRe after structural relaxation, from the Alexandria database.

The magnetization comes out at 2.55 μB per formula unit.

It has space group Fmm2 (No. 42), with a = 3.1326 Å, b = 4.7320 Å, c = 13.3351 Å, α = 90.00°, β = 90.00° and γ = 90.00°. Symmetry generates all atoms from Mn at (0.0000, 0.0000, 0.0000), In at (0.0000, 0.0000, 0.3263) and Re at (0.0000, 0.0000, 0.6430).



Entry ii
The following is a PBE calculation of MnInRe after structural relaxation, from the Alexandria database.

The magnetization comes out at 1.03 μB per formula unit.

It has space group F-43m (No. 216), with a = 5.9258 Å, b = 5.9258 Å, c = 5.9258 Å, α = 90.00°, β = 90.00° and γ = 90.00°. Symmetry generates all atoms from Mn at (0.0000, 0.0000, 0.0000), In at (0.2500, 0.2500, 0.7500) and Re at (0.2500, 0.2500, 0.2500).



Most stable = entry i



Entry i
The following is a PBE calculation of MnInRe after structural relaxation, from the Alexandria database.

The magnetization comes out at 0.42 μB per formula unit.

It has space group P3m1 (No. 156), with a = 2.8479 Å, b = 2.8479 Å, c = 6.6827 Å, α = 90.00°, β = 90.00° and γ = 120.00°. Symmetry generates all atoms from Mn at (0.0000, 0.0000, 0.0000), In at (0.6667, 0.3333, 0.6574) and Re at (0.3333, 0.6667, 0.2817).



Entry ii
The following is a PBE calculation of MnInRe after structural relaxation, from the Alexandria database.

The magnetization comes out at 0.39 μB per formula unit.

It has space group I4mm (No. 107), with a = 2.9003 Å, b = 2.9003 Å, c = 11.1415 Å, α = 90.00°, β = 90.00° and γ = 90.00°. Symmetry generates all atoms from Mn at (0.0000, 0.0000, 0.0000), In at (0.0000, 0.0000, 0.3205) and Re at (0.0000, 0.0000, 0.6233).



Most stable = entry ii



Entry i
The following is a PBE calculation of MnIn3Ru after structural relaxation, from the Alexandria database.

The magnetization comes out at 4.27 μB per formula unit.

It has space group Pm-3m (No. 221), with a = 4.9484 Å, b = 4.9484 Å, c = 4.9484 Å, α = 90.00°, β = 90.00° and γ = 90.00°. Symmetry generates all atoms from Mn at (0.0000, 0.0000, 0.0000), In at (0.0000, 0.0000, 0.5000) and Ru at (0.5000, 0.5000, 0.5000).



Entry ii
The following is a PBE calculation of MnIn3Ru after structural relaxation, from the Alexandria database.

The magnetization comes out at 5.00 μB per formula unit.

It has space group Pm-3m (No. 221), with a = 5.1360 Å, b = 5.1360 Å, c = 5.1360 Å, α = 90.00°, β = 90.00° and γ = 90.00°. Symmetry generates all atoms from Mn at (0.0000, 0.0000, 0.0000), In at (0.0000, 0.5000, 0.5000) and Ru at (0.5000, 0.5000, 0.5000).



Most stable = entry ii



Entry i
The following is a PBE calculation of Mn2InSb after structural relaxation, from the Alexandria database.

The magnetization comes out at 6.25 μB per formula unit.

It has space group P4/mmm (No. 123), with a = 3.4252 Å, b = 3.4252 Å, c = 6.2445 Å, α = 90.00°, β = 90.00° and γ = 90.00°. Symmetry generates all atoms from Mn at (0.0000, 0.0000, 0.2313), In at (0.5000, 0.5000, 0.5000) and Sb at (0.5000, 0.5000, 0.0000).



Entry ii
The following is a PBE calculation of Mn2InSb after structural relaxation, from the Alexandria database.

The magnetization comes out at 6.78 μB per formula unit.

It has space group C2/m (No. 12), with a = 6.1669 Å, b = 7.8796 Å, c = 3.0797 Å, α = 90.00°, β = 92.16° and γ = 90.00°. Symmetry generates all atoms from Mn at (0.2500, 0.2500, 0.0000), In at (0.0000, 0.0000, 0.5000) and Sb at (0.0000, 0.5000, 0.5000).



Most stable = entry i



Entry i
The following is a PBE calculation of Mn2InSb after structural relaxation, from the Alexandria database.

The magnetization comes out at 2.45 μB per formula unit.

It has space group P4mm (No. 99), with a = 3.0527 Å, b = 3.0527 Å, c = 8.1025 Å, α = 90.00°, β = 90.00° and γ = 90.00°. Symmetry generates all atoms from Mn at (0.0000, 0.0000, 0.0000), Mn at (0.5000, 0.5000, 0.1581), In at (0.5000, 0.5000, 0.7706) and Sb at (0.0000, 0.0000, 0.3701).



Entry ii
The following is a PBE calculation of Mn2InSb after structural relaxation, from the Alexandria database.

The magnetization comes out at 6.66 μB per formula unit.

It has space group Pmmm (No. 47), with a = 3.9231 Å, b = 4.3279 Å, c = 4.3623 Å, α = 90.00°, β = 90.00° and γ = 90.00°. Symmetry generates all atoms from Mn at (0.0000, 0.0000, 0.0000), Mn at (0.0000, 0.5000, 0.5000), In at (0.5000, 0.0000, 0.5000) and Sb at (0.5000, 0.5000, 0.0000).



Most stable = entry i



Entry i
The following is a PBE calculation of MnInSb2Te after structural relaxation, from the Alexandria database.

The magnetization comes out at 2.91 μB per formula unit.

It has space group P4/mmm (No. 123), with a = 5.1342 Å, b = 5.1342 Å, c = 5.4152 Å, α = 90.00°, β = 90.00° and γ = 90.00°. Symmetry generates all atoms from Mn at (0.0000, 0.0000, 0.0000), In at (0.5000, 0.5000, 0.5000), Sb at (0.0000, 0.5000, 0.0000) and Te at (0.0000, 0.0000, 0.5000).



Entry ii
The following is a PBE calculation of MnInSb2Te after structural relaxation, from the Alexandria database.

The magnetization comes out at 4.38 μB per formula unit.

It has space group P4/mmm (No. 123), with a = 5.5884 Å, b = 5.5884 Å, c = 5.6814 Å, α = 90.00°, β = 90.00° and γ = 90.00°. Symmetry generates all atoms from Mn at (0.0000, 0.0000, 0.0000), In at (0.5000, 0.5000, 0.5000), Sb at (0.0000, 0.5000, 0.5000) and Te at (0.5000, 0.5000, 0.0000).



Most stable = entry i



Entry i
The following is a PBE calculation of Sc3MnIn after structural relaxation, from the Alexandria database.

The magnetization comes out at 1.10 μB per formula unit.

It has space group Pm-3m (No. 221), with a = 5.2668 Å, b = 5.2668 Å, c = 5.2668 Å, α = 90.00°, β = 90.00° and γ = 90.00°. Symmetry generates all atoms from Sc at (0.0000, 0.0000, 0.5000), Mn at (0.5000, 0.5000, 0.5000) and In at (0.0000, 0.0000, 0.0000).



Entry ii
The following is a PBE calculation of Sc3MnIn after structural relaxation, from the Alexandria database.

The magnetization comes out at 0.00 μB per formula unit.

It has space group Pm-3m (No. 221), with a = 4.8421 Å, b = 4.8421 Å, c = 4.8421 Å, α = 90.00°, β = 90.00° and γ = 90.00°. Symmetry generates all atoms from Sc at (0.0000, 0.0000, 0.5000), Mn at (0.0000, 0.0000, 0.0000) and In at (0.5000, 0.5000, 0.5000).



Most stable = entry ii